A plane-wave DFT calculation with GGA-PBEsol was carried out for a relaxed structure of MnZn3P.

Properties
- energy (Ry/atom) = -0.2222
- crystal system = cubic
- spin magnetization (μB per atom) = 0.58

a = 4.576 Å, b = 4.576 Å, c = 4.576 Å
α = 90.00°, β = 90.00°, γ = 90.00°
Space group Pm-3m (No. 221)
Inequivalent atoms, fractional coordinates:
Mn (0.000, 0.000, 0.000)
Zn (0.000, 0.000, 0.500)
P (0.500, 0.500, 0.500)

A plane-wave DFT calculation with GGA-PBEsol was carried out for a relaxed structure of MnZnP2.

Properties
- energy (Ry/atom) = -0.4163
- crystal system = tetragonal
- spin magnetization (μB per atom) = 0.61

a = 5.351 Å, b = 5.351 Å, c = 10.249 Å
α = 90.00°, β = 90.00°, γ = 90.00°
Space group I-42d (No. 122)
Inequivalent atoms, fractional coordinates:
Mn (0.000, 0.000, 0.000)
Zn (0.000, 0.000, 0.500)
P (0.226, 0.250, 0.125)

A plane-wave DFT calculation with GGA-PBEsol was carried out for a relaxed structure of MnZnP2.

Properties
- energy (Ry/atom) = -0.4104
- crystal system = trigonal
- spin magnetization (μB per atom) = 0.50

a = 2.9724 Å, b = 2.9724 Å, c = 20.9472 Å
α = 90.00°, β = 90.00°, γ = 120.00°
Space group R3m (No. 160, hexagonal axes)
Inequivalent atoms, fractional coordinates:
Mn (0.0000, 0.0000, 0.0000)
Zn (0.0000, 0.0000, 0.2403)
P (0.0000, 0.0000, 0.4836)
P (0.0000, 0.0000, 0.7372)

A plane-wave DFT calculation with GGA-PBEsol was carried out for a relaxed structure of ZrMnP2.

Properties
- energy (Ry/atom) = -0.5815
- energy relative to the lowest polymorph listed for this composition (eV per atom) = 0.3812
- crystal system = tetragonal
- spin magnetization (μB per atom) = 0.17

a = 4.397 Å, b = 4.397 Å, c = 13.892 Å
α = 90.00°, β = 90.00°, γ = 90.00°
Space group I-42d (No. 122)
Inequivalent atoms, fractional coordinates:
Zr (0.000, 0.000, 0.000)
Mn (0.000, 0.000, 0.500)
P (0.132, 0.250, 0.625)

A plane-wave DFT calculation with GGA-PBEsol was carried out for a relaxed structure of Zr2Mn4P3.

Properties
- energy (Ry/atom) = -0.6766
- crystal system = hexagonal
- spin magnetization (μB per atom) = 0.73

a = 12.4642 Å, b = 12.4642 Å, c = 3.5237 Å
α = 90.00°, β = 90.00°, γ = 120.00°
Space group P-62m (No. 189)
Inequivalent atoms, fractional coordinates:
Zr (0.0000, 0.4541, 0.0000)
Zr (0.0000, 0.8267, 0.5000)
Zr (0.3333, 0.6667, 0.0000)
Mn (0.0000, 0.0000, 0.0000)
Mn (0.0000, 0.2838, 0.5000)
Mn (0.1255, 0.6559, 0.5000)
Mn (0.1753, 0.3728, 0.0000)
P (0.0000, 0.1742, 0.0000)
P (0.0000, 0.6618, 0.0000)
P (0.1712, 0.4906, 0.5000)

A plane-wave DFT calculation with GGA-PBEsol was carried out for a relaxed structure of ZrMnP2.

Properties
- energy (Ry/atom) = -0.6095
- energy relative to the lowest polymorph listed for this composition (eV per atom) = 0.0000
- crystal system = tetragonal
- spin magnetization (μB per atom) = 0.87

a = 3.557 Å, b = 3.557 Å, c = 5.151 Å
α = 90.00°, β = 90.00°, γ = 90.00°
Space group P4mm (No. 99)
Inequivalent atoms, fractional coordinates:
Zr (0.000, 0.000, 0.000)
Mn (0.500, 0.500, 0.400)
P (0.000, 0.000, 0.484)
P (0.500, 0.500, 0.904)

- Which of these has the lowest energy?
  Zr2Mn4P3

- Among the records above, which one has the highest spin magnetization?
  number 6

- energy of number 1 (MnZn3P)?
  -0.2222 Ry/atom